No. 1
Computed, not measured: HfU2S6 after structural relaxation at the PBE level of DFT.

a b c (Å): 5.2888 6.6361 6.6232
angles (deg): 78.92 66.47 66.52
With the nearest neighbours (Å) after each atom.
Sites, in units of the cell vectors:
Hf1 0.0000 0.5000 0.5000  4 S 2.53-2.68
S1 0.2748 0.3182 0.1322  1 Hf 2.53, 2 U 2.65
U1 0.7718 0.2967 0.1597  7 S 2.63-2.93
S2 0.9443 0.8683 0.2430  2 U 2.64-2.68, 1 Hf 2.68
S3 0.5542 0.2984 0.5933  2 U 2.63-2.93, 1 S 2.66
S4 0.4458 0.7016 0.4067  2 U 2.63-2.93, 1 S 2.66
U2 0.2282 0.7033 0.8403  7 S 2.63-2.93
S5 0.7252 0.6818 0.8678  1 Hf 2.53, 2 U 2.65
S6 0.0557 0.1317 0.7570  2 U 2.64-2.68, 1 Hf 2.68

Computed properties:
- Theoretical density: 7.200 Mg/m³
- Energy relative to the elements, uncorrected: -10.41 eV/f.u.
- Excess energy over the best structure of this formula in the dataset: 253 meV/atom
- Space group: C2/m (12)
- Total magnetization: 3.1 μB per formula unit

---

No. 2
Computed, not measured: HfU2S6 after structural relaxation at the PBE level of DFT.

a b c (Å): 3.8766 7.4437 9.8669
angles (deg): 108.72 90.00 105.09
With the nearest neighbours (Å) after each atom.
Sites, in units of the cell vectors:
S1 0.0268 0.0536 0.7678  1 Hf 2.54, 2 U 2.68
S2 0.3735 0.7471 0.4581  2 Hf 2.59, 1 U 2.68
S3 0.2994 0.5989 0.8877  3 U 2.67-2.69
S4 0.7006 0.4012 0.1123  3 U 2.67-2.69
S5 0.6265 0.2529 0.5419  2 Hf 2.59, 1 U 2.68
U1 0.6635 0.3271 0.8263  6 S 2.67-2.69
S6 0.9732 0.9465 0.2322  1 Hf 2.54, 2 U 2.68
U2 0.3364 0.6729 0.1737  6 S 2.67-2.69
Hf1 0.0000 0.0000 0.5000  6 S 2.54-2.59

Computed properties:
- Theoretical density: 5.425 Mg/m³
- Energy relative to the elements, uncorrected: -12.69 eV/f.u.
- Excess energy over the best structure of this formula in the dataset: 0 meV/atom
- Space group: C2/m (12)
- Total magnetization: 4.0 μB per formula unit

---

No. 3
Computed, not measured: HfU2S5 after structural relaxation at the PBE level of DFT.

a b c (Å): 5.3094 6.7173 12.4574
angles (deg): 90.00 90.00 113.28
With the nearest neighbours (Å) after each atom.
Sites, in units of the cell vectors:
S1 0.6679 0.3358 0.9208  1 Hf 2.60, 3 U 2.67-2.81
S2 0.3321 0.6642 0.0792  1 Hf 2.60, 3 U 2.67-2.81
Hf1 0.2105 0.4209 0.2500  6 S 2.52-2.66
Hf2 0.7895 0.5791 0.7500  6 S 2.52-2.66
S3 0.9493 0.8986 0.6242  1 Hf 2.52, 2 U 2.65
U1 0.1547 0.3093 0.9379  6 S 2.65-2.81
U2 0.8453 0.6907 0.0621  6 S 2.65-2.81
U3 0.1547 0.3093 0.5621  6 S 2.65-2.81
S4 0.6679 0.3358 0.5792  1 Hf 2.60, 3 U 2.67-2.81
S5 0.2715 0.5429 0.7500  2 Hf 2.66, 2 U 2.75
U4 0.8453 0.6907 0.4379  6 S 2.65-2.81
S6 0.0507 0.1014 0.1242  1 Hf 2.52, 2 U 2.65
S7 0.9493 0.8986 0.8758  1 Hf 2.52, 2 U 2.65
S8 0.3321 0.6642 0.4208  1 Hf 2.60, 3 U 2.67-2.81
S9 0.7285 0.4571 0.2500  2 Hf 2.66, 2 U 2.75
S10 0.0507 0.1014 0.3758  1 Hf 2.52, 2 U 2.65

Computed properties:
- Theoretical density: 6.631 Mg/m³
- Energy relative to the elements, uncorrected: -10.87 eV/f.u.
- Excess energy over the best structure of this formula in the dataset: 110 meV/atom
- Space group: Cmcm (63)
- Total magnetization: 5.4 μB per formula unit

---

No. 4
Computed, not measured: Hf2U5S12 after structural relaxation at the PBE level of DFT.

a b c (Å): 7.0310 8.4283 8.7586
angles (deg): 105.66 90.00 114.65
With the nearest neighbours (Å) after each atom.
Sites, in units of the cell vectors:
S1 0.5998 0.7016 0.4328  4 U 2.81-2.90
S2 0.9924 0.9848 0.1954  2 Hf 2.51, 1 U 2.64
S3 0.4002 0.2984 0.5672  4 U 2.81-2.90
S4 0.9180 0.3456 0.0941  1 Hf 2.53, 2 U 2.77-2.80
U1 0.6827 0.3655 0.8432  7 S 2.77-2.90
U2 0.3173 0.6345 0.1568  7 S 2.77-2.90
S5 0.8981 0.2984 0.5672  4 U 2.81-2.90
Hf1 0.7441 0.0000 0.0000  6 S 2.51-2.56
S6 0.4946 0.9893 0.7801  2 Hf 2.56, 2 U 2.77-2.86
S7 0.5054 0.0107 0.2199  2 Hf 2.56, 2 U 2.77-2.86
S8 0.4276 0.3456 0.0941  1 Hf 2.53, 2 U 2.77-2.80
S9 0.5724 0.6544 0.9059  1 Hf 2.53, 2 U 2.77-2.80
Hf2 0.2559 0.0000 0.0000  6 S 2.51-2.56
S10 0.0076 0.0152 0.8046  2 Hf 2.51, 1 U 2.64
U3 0.6995 0.3990 0.3556  7 S 2.80-2.86
S11 0.0820 0.6544 0.9059  1 Hf 2.53, 2 U 2.77-2.80
U4 0.3005 0.6010 0.6444  7 S 2.80-2.86
S12 0.1019 0.7016 0.4328  4 U 2.81-2.90
U5 0.0000 0.0000 0.5000  6 S 2.64-2.81

Computed properties:
- Theoretical density: 7.122 Mg/m³
- Energy relative to the elements, uncorrected: -26.42 eV/f.u.
- Space group: C2/m (12)
- Total magnetization: 2.4 μB per formula unit

---

No. 5
Computed, not measured: HfUS3 after structural relaxation at the PBE level of DFT.

a b c (Å): 4.5300 6.3276 9.4574
angles (deg): 109.54 90.00 90.00
With the nearest neighbours (Å) after each atom.
Sites, in units of the cell vectors:
S1 0.7500 0.5608 0.1083  3 Hf 2.48-2.54, 1 U 2.69
S2 0.2500 0.6791 0.4147  1 Hf 2.55, 3 U 2.75-2.83
S3 0.2500 0.1280 0.2089  1 Hf 2.41
U1 0.2500 0.0602 0.6639  6 S 2.69-2.84
Hf1 0.2500 0.7282 0.1583  5 S 2.41-2.55
U2 0.7500 0.3962 0.3361  6 S 2.69-2.84
S4 0.7500 0.9191 0.7911  1 Hf 2.41
S5 0.7500 0.2644 0.5853  1 Hf 2.55, 3 U 2.75-2.83
S6 0.2500 0.4525 0.8917  3 Hf 2.48-2.54, 1 U 2.69
Hf2 0.7500 0.5698 0.8417  5 S 2.41-2.55

Computed properties:
- Theoretical density: 6.665 Mg/m³
- Energy relative to the elements, uncorrected: -5.95 eV/f.u.
- Space group: Ama2 (40)
- Total magnetization: 3.1 μB per formula unit

---

No. 6
Computed, not measured: Hf2US6 after structural relaxation at the PBE level of DFT.

a b c (Å): 4.7368 6.8938 7.6228
angles (deg): 73.71 71.90 69.91
With the nearest neighbours (Å) after each atom.
Sites, in units of the cell vectors:
S1 0.0342 0.1420 0.7895  2 Hf 2.46-2.53
S2 0.7468 0.6278 0.8785  3 Hf 2.52-2.72
Hf1 0.8232 0.2436 0.1101  6 S 2.46-2.72
S3 0.2532 0.3722 0.1215  3 Hf 2.52-2.72
U1 0.0000 0.5000 0.5000  8 S 2.81-3.01
S4 0.6353 0.2871 0.4424  1 Hf 2.48
S5 0.3647 0.7129 0.5576  1 Hf 2.48
Hf2 0.1768 0.7564 0.8899  6 S 2.46-2.72
S6 0.9658 0.8580 0.2105  2 Hf 2.46-2.53

Computed properties:
- Theoretical density: 5.999 Mg/m³
- Energy relative to the elements, uncorrected: -12.45 eV/f.u.
- Excess energy over the best structure of this formula in the dataset: 101 meV/atom
- Space group: C2/m (12)
- Total magnetization: 2.0 μB per formula unit

---

No. 7
Computed, not measured: HfVS3 after structural relaxation at the PBE level of DFT.

a b c (Å): 4.8962 4.8962 4.8962
angles (deg): 90.00 90.00 90.00
With the nearest neighbours (Å) after each atom.
Sites, in units of the cell vectors:
S1 0.5000 0.0000 0.0000  2 Hf 2.45
V1 0.5000 0.5000 0.5000  12 S 3.46
S2 0.0000 0.0000 0.5000  2 Hf 2.45
S3 0.0000 0.5000 0.0000  2 Hf 2.45
Hf1 0.0000 0.0000 0.0000  6 S 2.45

Computed properties:
- Theoretical density: 4.607 Mg/m³
- Energy relative to the elements, uncorrected: -1.57 eV/f.u.
- Excess energy over the best structure of this formula in the dataset: 792 meV/atom
- Space group: Pm-3m (221)
- Total magnetization: 3.0 μB per formula unit

---

No. 8
Computed, not measured: HfV3S after structural relaxation at the PBE level of DFT.

a b c (Å): 4.3256 4.3256 4.3256
angles (deg): 90.00 90.00 90.00
With the nearest neighbours (Å) after each atom.
Sites, in units of the cell vectors:
V1 0.5000 0.0000 0.0000  2 S 2.16
V2 0.0000 0.0000 0.5000  2 S 2.16
V3 0.0000 0.5000 0.0000  2 S 2.16
S1 0.0000 0.0000 0.0000  6 V 2.16
Hf1 0.5000 0.5000 0.5000  12 V 3.06

Computed properties:
- Theoretical density: 7.455 Mg/m³
- Energy relative to the elements, uncorrected: -0.49 eV/f.u.
- Excess energy over the best structure of this formula in the dataset: 0 meV/atom
- Space group: Pm-3m (221)
- Total magnetization: 0.7 μB per formula unit

---

No. 9
Computed, not measured: HfVS2 after structural relaxation at the PBE level of DFT.

a b c (Å): 8.1642 8.1642 8.1642
angles (deg): 24.72 24.72 24.72
With the nearest neighbours (Å) after each atom.
Sites, in units of the cell vectors:
V1 0.0000 0.0000 0.0000  2 S 2.40
S1 0.1012 0.1012 0.1012  1 V 2.40, 3 Hf 2.55
S2 0.8988 0.8988 0.8988  1 V 2.40, 3 Hf 2.55
Hf1 0.5000 0.5000 0.5000  6 S 2.55

Computed properties:
- Theoretical density: 5.826 Mg/m³
- Energy relative to the elements, uncorrected: -2.78 eV/f.u.
- Excess energy over the best structure of this formula in the dataset: 90 meV/atom
- Space group: R-3m (166)
- Total magnetization: 3.7 μB per formula unit

---

No. 10
Computed, not measured: HfVS2 after structural relaxation at the PBE level of DFT.

a b c (Å): 5.5071 5.5071 6.7845
angles (deg): 66.06 66.06 90.00
With the nearest neighbours (Å) after each atom.
Sites, in units of the cell vectors:
Hf1 0.7500 0.2500 0.5000  4 S 2.45
Hf2 0.0000 0.0000 0.0000  4 S 2.45
V1 0.5000 0.5000 0.0000  4 S 2.33
S1 0.6057 0.1250 0.2500  2 V 2.33, 2 Hf 2.45
S2 0.1443 0.6250 0.2500  2 V 2.33, 2 Hf 2.45
S3 0.3750 0.3943 0.7500  2 V 2.33, 2 Hf 2.45
V2 0.2500 0.7500 0.5000  4 S 2.33
S4 0.8750 0.8557 0.7500  2 V 2.33, 2 Hf 2.45

Computed properties:
- Theoretical density: 5.786 Mg/m³
- Energy relative to the elements, uncorrected: -2.86 eV/f.u.
- Excess energy over the best structure of this formula in the dataset: 72 meV/atom
- Space group: I-42d (122)
- Total magnetization: 2.5 μB per formula unit

---

No. 11
Computed, not measured: HfVS3 after structural relaxation at the PBE level of DFT.

a b c (Å): 3.6445 6.1899 10.2989
angles (deg): 90.00 100.19 90.00
With the nearest neighbours (Å) after each atom.
Sites, in units of the cell vectors:
S1 0.5724 0.2865 0.1447  2 V 2.31, 1 Hf 2.49
V1 0.1270 0.4294 0.2540  4 S 2.31-2.36
S2 0.4276 0.7865 0.8553  2 V 2.31, 1 Hf 2.49
S3 0.1161 0.8032 0.2323  1 V 2.32, 2 Hf 2.52
Hf1 0.6669 0.0293 0.3339  6 S 2.49-2.74
Hf2 0.3331 0.5293 0.6661  6 S 2.49-2.74
V2 0.8730 0.9294 0.7460  4 S 2.31-2.36
S4 0.8839 0.3032 0.7677  1 V 2.32, 2 Hf 2.52
S5 0.7708 0.7457 0.5416  1 V 2.36, 2 Hf 2.59
S6 0.2292 0.2457 0.4584  1 V 2.36, 2 Hf 2.59

Computed properties:
- Theoretical density: 4.729 Mg/m³
- Energy relative to the elements, uncorrected: -5.53 eV/f.u.
- Excess energy over the best structure of this formula in the dataset: 0 meV/atom
- Space group: Cmc2_1 (36)
- Total magnetization: 2.7 μB per formula unit